[1]
A plane-wave DFT calculation with PBE was carried out for an optimized crystal structure of TiAlNi6.

Values from the calculation:
As for the density of states at the Fermi level: 7.91 states/eV/f.u. Its polymorph energy (0 for the lowest one) is 408 meV per atom.

Unit cell a=7.2266 b=4.7677 c=6.4121 alpha=90.00 beta=107.87 gamma=90.00
Space group C2/m (No. 12)
Inequivalent atoms, fractional coordinates:
Ti: 0.0000 0.0000 0.0000 (multiplicity 2)
Al: 0.0000 0.5000 0.5000 (multiplicity 2)
Ni: 0.1404 0.0000 0.4356 (multiplicity 4)
Ni: 0.2061 0.2389 0.7990 (multiplicity 8)

[2]
A plane-wave DFT calculation with PBE was carried out for an optimized crystal structure of Ti3AlNi.

Values from the calculation:
As for the density of states at the Fermi level: 5.72 states/eV/f.u. Its polymorph energy (0 for the lowest one) is 0 meV per atom.

Unit cell a=4.5167 b=4.5167 c=4.5167 alpha=90.00 beta=90.00 gamma=90.00
Space group Pm-3m (No. 221)
Inequivalent atoms, fractional coordinates:
Ti: 0.0000 0.0000 0.5000 (multiplicity 3)
Al: 0.5000 0.5000 0.5000 (multiplicity 1)
Ni: 0.0000 0.0000 0.0000 (multiplicity 1)

[3]
A plane-wave DFT calculation with PBE was carried out for an optimized crystal structure of Ti2AlNi2.

Values from the calculation:
As for the density of states at the Fermi level: 4.74 states/eV/f.u.

Unit cell a=7.1546 b=7.1546 c=2.8600 alpha=90.00 beta=90.00 gamma=90.00
Space group P4/mbm (No. 127)
Inequivalent atoms, fractional coordinates:
Ti: 0.1589 0.3411 0.0000 (multiplicity 4)
Al: 0.0000 0.0000 0.0000 (multiplicity 2)
Ni: 0.1323 0.6323 0.5000 (multiplicity 4)

[4]
A plane-wave DFT calculation with PBE was carried out for an optimized crystal structure of TiAlNi.

Values from the calculation:
As for the density of states at the Fermi level: 3.62 states/eV/f.u.

Unit cell a=5.7549 b=5.7549 c=5.7549 alpha=90.00 beta=90.00 gamma=90.00
Space group F-43m (No. 216)
Inequivalent atoms, fractional coordinates:
Ti: 0.0000 0.0000 0.0000 (multiplicity 4)
Al: 0.0000 0.0000 0.5000 (multiplicity 4)
Ni: 0.2500 0.2500 0.7500 (multiplicity 4)

no.,formation energy from the elements (kJ/mol of atoms),size of the total moment (Bohr magnetons per cell)
1,-6.2,0.00
2,18.8,0.00
3,-17.3,0.00
4,-34.4,4.04